Record 1
VASP calculation (PBE) on a relaxed Li2SnSb crystal.

Values from the calculation:
The uncorrected formation energy is -0.193 eV/atom.

Cell lengths 3.3253, 3.3253, 10.0956 Å; angles 80.52, 80.52, 60.00 degrees
Fractional positions:
Sn 0.0000 0.0000 0.0000
Li 0.0946 0.0946 0.7162
Li 0.9054 0.9054 0.2838
Sb 0.5000 0.5000 0.5000

Record 2
VASP calculation (PBE) on a relaxed LiVTcSn crystal.

Values from the calculation:
For the electronic total energy, the calculation gives -6.424 eV per atom.

Cell lengths 4.4195, 4.4195, 4.4195 Å; angles 60.00, 60.00, 60.00 degrees
Fractional positions:
Sn 0.5000 0.5000 0.5000
Li 0.2500 0.2500 0.2500
Tc 0.7500 0.7500 0.7500
V 0.0000 0.0000 0.0000

Record 3
VASP calculation (PBE) on a relaxed GePdC2Cl crystal.

Values from the calculation:
The uncorrected formation energy is 1.706 eV/atom. The energy above the lowest structure with this stoichiometry comes out at 165.4 meV/atom.

Cell lengths 3.9005, 6.5103, 3.9005 Å; angles 90.00, 90.00, 90.00 degrees
Site moments in Bohr magnetons follow the coordinates.
Fractional positions:
Cl 0.0000 0.5000 0.0000  0.01
Pd 0.0000 0.0000 0.0000  0.04
C 0.0000 0.0000 0.5000  0.25
C 0.5000 0.0000 0.0000  0.08
Ge 0.5000 0.5000 0.5000  -0.15

Record 4
VASP calculation (PBE) on a relaxed Ce2SmPuAs4 crystal.

Values from the calculation:
For the electronic total energy, the calculation gives -7.544 eV per atom.

Cell lengths 4.2015, 7.2592, 7.2784 Å; angles 70.44, 90.00, 90.00 degrees
Site moments in Bohr magnetons follow the coordinates.
Fractional positions:
As 0.0000 0.7511 0.7473  -0.04
As 0.5000 0.7481 0.2533  -0.07
As 0.0000 0.2489 0.2527  -0.04
As 0.5000 0.2519 0.7467  -0.07
Ce 0.5000 0.0000 0.5000  0.58
Ce 0.0000 0.0000 0.0000  0.59
Pu 0.0000 0.5000 0.5000  5.13
Sm 0.5000 0.5000 0.0000  0.03

Record 5
VASP calculation (PBE) on a relaxed Rb2SmPtO4 crystal.

Values from the calculation:
The uncorrected formation energy is -1.359 eV/atom.

Cell lengths 6.2865, 7.9035, 12.3699 Å; angles 84.20, 75.28, 66.57 degrees
Site moments in Bohr magnetons follow the coordinates.
Fractional positions:
Rb 0.8089 0.0000 0.3823  0.00
Rb 0.1911 0.0000 0.6177  0.00
Rb 0.5589 0.5000 0.8823  0.00
Rb 0.9411 0.5000 0.1177  0.00
O 0.6297 0.1953 0.0015  0.11
O 0.3688 0.8047 0.0015  0.11
O 0.9236 0.6953 0.5015  0.11
O 0.3812 0.6953 0.4985  0.11
O 0.1751 0.1953 0.9985  0.11
O 0.8264 0.8047 0.9985  0.11
O 0.1203 0.3047 0.4985  0.11
O 0.5749 0.3047 0.5015  0.11
Sm 0.7500 0.5000 0.5000  0.00
Sm 0.0000 0.0000 0.0000  0.00
Pt 0.2500 0.5000 0.5000  0.47
Pt 0.5000 0.0000 0.0000  0.47

Record 6
VASP calculation (PBE) on a relaxed La2NiSnHg crystal.

Values from the calculation:
For the electronic total energy, the calculation gives -4.415 eV per atom.

Cell lengths 5.3536, 5.3536, 4.9360 Å; angles 90.00, 90.00, 90.00 degrees
Fractional positions:
Sn 0.5000 0.5000 0.5000
Ni 0.0000 0.0000 0.0000
La 0.0000 0.5000 0.0000
La 0.5000 0.0000 0.0000
Hg 0.0000 0.0000 0.5000

DOS at the Fermi energy (computed, states/eV/cell): 1.9 3.9 2.3 20.1 14.6 3.8
Calculated volume (computed, A^3/atom): 23.73 15.26 19.81 26.15 34.09 28.29